Entry 1:
ZrTi2MoH: relaxed, PBE-GGA.

It has space group P4/mmm (No. 123), with a = 3.949 Å, b = 3.949 Å, c = 4.749 Å, α = 90.00°, β = 90.00° and γ = 90.00°. Symmetry generates all atoms from Zr at (0.000, 0.000, 0.000), Ti at (0.000, 0.500, 0.500), Mo at (0.500, 0.500, 0.000) and H at (0.000, 0.000, 0.500).

The offset from the most stable computed form is 0.000 eV per atom. For the mass density, the calculation gives 6.367 Mg/m³. The value obtained for the total energy is -7.75 eV per atom. The calculation puts the total magnetic moment at 0.001 μB/atom.



Entry 2:
La2Zn3Cd: relaxed, PBE-GGA.

It has space group Imm2 (No. 44), with a = 3.754 Å, b = 4.807 Å, c = 16.401 Å, α = 90.00°, β = 90.00° and γ = 90.00°. Symmetry generates all atoms from La at (0.000, 0.000, 0.000), La at (0.000, 0.500, 0.267), Zn at (0.000, 0.000, 0.429), Zn at (0.000, 0.500, 0.675), Zn at (0.000, 0.500, 0.831) and Cd at (0.000, 0.000, 0.595).

The offset from the most stable computed form is 0.039 eV per atom. For the mass density, the calculation gives 6.580 Mg/m³. The value obtained for the total energy is -2.73 eV per atom. The calculation puts the total magnetic moment at 0.000 μB/atom.



Entry 3:
Ta5V3H12: relaxed, PBE-GGA.

It has space group Ia-3d (No. 230), with a = 10.935 Å, b = 10.935 Å, c = 10.935 Å, α = 90.00°, β = 90.00° and γ = 90.00°. Symmetry generates all atoms from Ta at (0.000, 0.000, 0.000), Ta at (0.000, 0.250, 0.375), V at (0.000, 0.250, 0.125) and H at (0.001, 0.076, 0.156).

For the mass density, the calculation gives 10.868 Mg/m³. The value obtained for the total energy is -6.44 eV per atom. The calculation puts the total magnetic moment at 0.000 μB/atom.



Entry 4:
RbTlBP: relaxed, PBE-GGA.

It has space group R3m (No. 160, hexagonal axes), with a = 4.2958 Å, b = 4.2958 Å, c = 21.4505 Å, α = 90.00°, β = 90.00° and γ = 120.00°. Symmetry generates all atoms from Rb at (0.0000, 0.0000, 0.0000), Tl at (0.0000, 0.0000, 0.7931), B at (0.0000, 0.0000, 0.4755) and P at (0.0000, 0.0000, 0.5590).

The offset from the most stable computed form is 0.206 eV per atom. For the mass density, the calculation gives 4.819 Mg/m³. The value obtained for the total energy is -3.51 eV per atom. The calculation puts the total magnetic moment at 0.000 μB/atom.



Entry 5:
Li2ZrTc: relaxed, PBE-GGA.

It has space group Cm (No. 8), with a = 9.286 Å, b = 2.669 Å, c = 5.528 Å, α = 90.00°, β = 95.74° and γ = 90.00°. Symmetry generates all atoms from Li at (0.000, 0.000, 0.000), Li at (0.245, 0.500, 0.227), Zr at (0.001, 0.500, 0.525) and Tc at (0.256, 0.000, 0.750).

The offset from the most stable computed form is 0.163 eV per atom. For the mass density, the calculation gives 4.947 Mg/m³. The value obtained for the total energy is -5.38 eV per atom. The calculation puts the total magnetic moment at 0.000 μB/atom.



Entry 6:
Pm4PrDy3: relaxed, PBE-GGA.

It has space group Pmn2_1 (No. 31), with a = 11.634 Å, b = 7.345 Å, c = 6.342 Å, α = 90.00°, β = 90.00° and γ = 90.00°. Symmetry generates all atoms from Pm at (0.000, 0.127, 0.000), Pm at (0.000, 0.873, 0.494), Pm at (0.247, 0.875, 0.830), Pr at (0.000, 0.375, 0.496), Dy at (0.000, 0.623, 0.996) and Dy at (0.250, 0.377, 0.830).

The offset from the most stable computed form is 0.000 eV per atom. For the mass density, the calculation gives 7.405 Mg/m³. The value obtained for the total energy is -4.67 eV per atom. The calculation puts the total magnetic moment at 0.000 μB/atom.



Please write out number 5 again, unchanged.
Li2ZrTc: relaxed, PBE-GGA.

It has space group Cm (No. 8), with a = 9.286 Å, b = 2.669 Å, c = 5.528 Å, α = 90.00°, β = 95.74° and γ = 90.00°. Symmetry generates all atoms from Li at (0.000, 0.000, 0.000), Li at (0.245, 0.500, 0.227), Zr at (0.001, 0.500, 0.525) and Tc at (0.256, 0.000, 0.750).

The offset from the most stable computed form is 0.163 eV per atom. For the mass density, the calculation gives 4.947 Mg/m³. The value obtained for the total energy is -5.38 eV per atom. The calculation puts the total magnetic moment at 0.000 μB/atom.